The following is a PBE calculation of a geometry-optimized CaAgSb2 structure, from Alexandria.

## Properties
Its total energy is -3.6291 eV/atom. The value obtained for the energy relative to the elements, uncorrected is -355 meV/atom.

```
data_CaAgSb2
_symmetry_space_group_name_H-M 'P 1 2/m 1'
_symmetry_Int_Tables_number 10
_symmetry_space_group_name_Hall '-P 2y'
_cell_length_a 3.485
_cell_length_b 4.608
_cell_length_c 6.737
_cell_angle_alpha 90.00
_cell_angle_beta 90.06
_cell_angle_gamma 90.00
loop_
_atom_site_label
_atom_site_fract_x
_atom_site_fract_y
_atom_site_fract_z
_atom_site_occupancy
Ca1 0.000 0.000 0.000 1
Ag1 0.500 0.000 0.500 1
Sb1 0.500 0.500 0.246 1
```